Hf2Ge2P | the Alexandria database | GGA-PBE | optimized geometry; ΔE to the lowest computed polymorph = 535 meV/atom; space-group type = I4/mmm (139)
1.0
-2.6984 4.3993 -0.2912
-3.1668 -1.6963 3.7168
-0.6718 2.9129 4.3516
Hf Ge P
2 2 1
direct
0.2500 0.7500 0.5000 Hf
0.7500 0.2500 0.5000 Hf
0.3342 0.3342 0.3316 Ge
0.6658 0.6658 0.6684 Ge
0.0000 0.0000 0.0000 P